Entry 1:
A relaxed TaGaNiMo crystal, computed with GGA-PBE.

The space group is F-43m (No. 216) and the conventional cell measures 6.208, 6.208 and 6.208 Å, with angles of 90.00, 90.00 and 90.00 degrees. The inequivalent atoms are Ta at (0.000, 0.000, 0.000), Ga at (0.000, 0.000, 0.500), Ni at (0.250, 0.250, 0.750) and Mo at (0.250, 0.250, 0.250).

For the offset from the most stable computed form, the calculation gives 0.000 eV/atom.


Entry 2:
A relaxed Hf2TcIr crystal, computed with GGA-PBE.

The space group is P4/mmm (No. 123) and the conventional cell measures 4.577, 4.577 and 3.310 Å, with angles of 90.00, 90.00 and 90.00 degrees. The inequivalent atoms are Hf at (0.000, 0.500, 0.000), Tc at (0.000, 0.000, 0.500) and Ir at (0.500, 0.500, 0.500).

The calculation puts the total energy at -42.5 eV per formula unit.


Entry 3:
A relaxed Gd4ReBr4 crystal, computed with GGA-PBE.

The space group is P4/ncc (No. 130, origin choice 2) and the conventional cell measures 12.803, 12.803 and 6.579 Å, with angles of 90.00, 90.00 and 90.00 degrees. The inequivalent atoms are Gd at (0.076, 0.675, 0.009), Re at (0.250, 0.750, 0.250) and Br at (0.052, 0.137, 0.085).

The calculation puts the total energy at -48.5 eV per formula unit.


Entry 4:
A relaxed HoSiOs crystal, computed with GGA-PBE.

The space group is F-43m (No. 216) and the conventional cell measures 6.249, 6.249 and 6.249 Å, with angles of 90.00, 90.00 and 90.00 degrees. The inequivalent atoms are Ho at (0.000, 0.000, 0.000), Si at (0.000, 0.000, 0.500) and Os at (0.250, 0.250, 0.250).

The calculation puts the total energy at -21.5 eV per formula unit.


Entry 5:
A relaxed Y2CoC crystal, computed with GGA-PBE.

The space group is P6_3/mmc (No. 194) and the conventional cell measures 3.5642, 3.5642 and 13.7405 Å, with angles of 90.00, 90.00 and 120.00 degrees. The inequivalent atoms are Y at (0.3333, 0.6667, 0.1001), Co at (0.3333, 0.6667, 0.7500) and C at (0.0000, 0.0000, 0.0000).

The calculation puts the total energy at -29.1 eV per formula unit.


Entry 6:
A relaxed AgBrCl crystal, computed with GGA-PBE.

The space group is P2_1/m (No. 11) and the conventional cell measures 6.783, 3.701 and 7.739 Å, with angles of 90.00, 114.69 and 90.00 degrees. The inequivalent atoms are Ag at (0.242, 0.250, 0.250), Br at (0.486, 0.250, 0.743) and Cl at (0.007, 0.250, 0.758).

For the offset from the most stable computed form, the calculation gives 0.000 eV/atom.